Entry 1:
Density functional theory data (PBE) for crystalline LiHfAl at its relaxed geometry.

Structure (CIF):
```
data_LiHfAl
_symmetry_space_group_name_H-M 'P 1 2/m 1'
_symmetry_Int_Tables_number 10
_cell_length_a 4.8428
_cell_length_b 3.0282
_cell_length_c 7.7252
_cell_angle_alpha 90.00
_cell_angle_beta 101.18
_cell_angle_gamma 90.00
loop_
_symmetry_equiv_pos_as_xyz
'x,y,z'
'-x,-y,-z'
'-x,y,-z'
'x,-y,z'
loop_
_atom_site_label
_atom_site_fract_x
_atom_site_fract_y
_atom_site_fract_z
_atom_site_occupancy
Li1 0.0000 0.0000 0.0000 1
Li2 0.5000 0.5000 0.0000 1
Hf1 0.2042 0.5000 0.3631 1
Al1 0.3149 0.0000 0.7045 1
```

Properties
Magnetization (μB/f.u.): 0.000
Crystal system: monoclinic
Formation enthalpy at 0 K (eV per formula unit): -0.45
Polymorph energy (0 for the lowest one) (meV per atom): 26



Entry 2:
Density functional theory data (PBE) for crystalline ErPuAlAu at its relaxed geometry.

Structure (CIF):
```
data_ErPuAlAu
_symmetry_space_group_name_H-M 'F -4 3 m'
_symmetry_Int_Tables_number 216
_symmetry_space_group_name_Hall 'F -4 2 3'
_cell_length_a 7.2372
_cell_length_b 7.2372
_cell_length_c 7.2372
_cell_angle_alpha 90.00
_cell_angle_beta 90.00
_cell_angle_gamma 90.00
loop_
_atom_site_label
_atom_site_fract_x
_atom_site_fract_y
_atom_site_fract_z
_atom_site_occupancy
Er1 0.0000 0.0000 0.0000 1
Pu1 0.0000 0.0000 0.5000 1
Al1 0.2500 0.2500 0.7500 1
Au1 0.2500 0.2500 0.2500 1
```

Properties
Magnetization (μB/f.u.): 5.723
Crystal system: cubic
Formation enthalpy at 0 K (eV per formula unit): -1.42



Entry 3:
Density functional theory data (PBE) for crystalline MnAgSb2 at its relaxed geometry.

Structure (CIF):
```
data_MnAgSb2
_symmetry_space_group_name_H-M 'P 4 m m'
_symmetry_Int_Tables_number 99
_cell_length_a 3.2106
_cell_length_b 3.2106
_cell_length_c 8.6426
_cell_angle_alpha 90.00
_cell_angle_beta 90.00
_cell_angle_gamma 90.00
loop_
_symmetry_equiv_pos_as_xyz
'x,y,z'
'-y,x,z'
'-x,-y,z'
'y,-x,z'
'-x,y,z'
'y,x,z'
'x,-y,z'
'-y,-x,z'
loop_
_atom_site_label
_atom_site_fract_x
_atom_site_fract_y
_atom_site_fract_z
_atom_site_occupancy
Mn1 0.0000 0.0000 0.0000 1
Ag1 0.5000 0.5000 0.8043 1
Sb1 0.0000 0.0000 0.5674 1
Sb2 0.5000 0.5000 0.2065 1
```

Properties
Formation energy (no corrections) (eV/f.u.): 0.8
Magnetization (μB/f.u.): 3.865
Crystal system: tetragonal